(1)
A geometry-optimized Ac3Nd3Ni4 structure, computed with GGA-PBE.

**V**: 262.6 Å³/cell
**Formation enthalpy at 0 K**: -152 meV/atom

The structure in POSCAR format:
```
Ac3Nd3Ni4
1.0
4.0420 0.0000 0.0000
0.0000 8.0617 0.0638
0.0000 0.1348 8.0609
Nd Ac Ni
3 3 4
Cartesian
2.0210 5.3817 5.3254
2.0210 2.8240 2.7901
2.0210 6.7837 1.3531
0.0000 4.1217 0.0724
0.0000 8.0879 4.0038
2.0210 1.4085 6.7759
0.0000 3.2163 4.9521
0.0000 0.9148 0.9957
0.0000 5.0146 3.1379
0.0000 7.1928 7.2187
```


(2)
A geometry-optimized Ar structure, computed with GGA-PBE.

**V**: 90.9 Å³/cell
**Formation enthalpy at 0 K**: 0 meV/atom

The structure in POSCAR format:
```
Ar
1.0
-2.5078 -0.8379 -2.9976
2.7961 -2.6498 1.0663
-4.1947 -2.7094 4.2665
Ar
2
Cartesian
-3.8858 -3.4739 1.5569
-0.0205 -2.7232 0.7783
```


(3)
A geometry-optimized DyHoIrRu structure, computed with GGA-PBE.

**V**: 78.9 Å³/cell
**Formation enthalpy at 0 K**: -625 meV/atom

The structure in POSCAR format:
```
DyHoIrRu
1.0
4.8133 0.0000 0.0000
2.4066 4.1684 0.0000
2.4066 1.3895 3.9300
Ho Dy Ir Ru
1 1 1 1
Cartesian
4.8133 2.7789 1.9650
0.0000 0.0000 0.0000
2.4066 1.3895 0.9825
7.2199 4.1684 2.9475
```


(4)
A geometry-optimized Nd7Sn2N2 structure, computed with GGA-PBE.

**V**: 297.8 Å³/cell
**Raw formation energy**: -0.593 eV per atom

The structure in POSCAR format:
```
Nd7Sn2N2
1.0
-1.4461 5.1023 4.4359
-3.1902 -3.8988 4.4299
6.2794 -2.6184 1.2310
N Nd Sn
2 7 2
Cartesian
1.4385 -4.6447 6.2479
0.2046 3.2298 3.8488
-2.7850 -0.5963 5.7719
4.4281 -0.8186 4.3248
0.4489 -2.3494 6.0859
-0.7378 0.4558 8.1722
1.1942 0.9345 4.0108
0.0000 0.0000 0.0000
2.3809 -1.8707 1.9245
-0.7233 -1.5014 3.2371
2.3664 0.0865 6.8596
```


(5)
A geometry-optimized PaNb2 structure, computed with GGA-PBE.

**V**: 127.9 Å³/cell
**Formation enthalpy at 0 K**: 98 meV/atom
**Energy above the lowest structure with this stoichiometry**: 64 meV per atom

The structure in POSCAR format:
```
PaNb2
1.0
5.6560 0.0000 0.0000
2.8280 4.8982 0.0000
2.8280 1.6327 4.6181
Nb Pa
4 2
Cartesian
5.6560 3.2655 0.5773
7.0700 4.0818 2.8863
5.6560 1.6327 2.8863
4.2420 4.0818 2.8863
0.0000 0.0000 0.0000
2.8280 1.6327 1.1545
```


(6)
A geometry-optimized HfNbAs structure, computed with GGA-PBE.

**V**: 225.1 Å³/cell
**Formation enthalpy at 0 K**: -454 meV/atom

The structure in POSCAR format:
```
HfNbAs
1.0
6.1291 0.0000 0.0000
0.0000 5.9546 0.0000
0.0000 0.0000 6.1676
Hf Nb As
4 4 4
Cartesian
3.7201 2.9773 1.5419
2.4090 0.0000 1.5419
5.4736 2.9773 4.6257
0.6556 0.0000 4.6257
0.0000 1.4887 2.1476
3.0646 4.4660 5.2314
0.0000 4.4660 0.9363
3.0646 1.4887 4.0201
1.5323 3.6435 3.0838
4.5968 5.2884 3.0838
4.5968 0.6662 0.0000
1.5323 2.3111 0.0000
```


(7)
A geometry-optimized CoCuNiHg2 structure, computed with GGA-PBE.

**V**: 103.2 Å³/cell
**Formation enthalpy at 0 K**: 1079 meV/atom

The structure in POSCAR format:
```
CoCuNiHg2
1.0
4.8312 0.0000 0.0000
0.0000 4.4227 0.0000
0.0000 0.0000 4.8312
Hg Ni Cu Co
2 1 1 1
Cartesian
0.0000 0.0000 2.4156
2.4156 0.0000 0.0000
0.0000 2.2114 0.0000
0.0000 0.0000 0.0000
2.4156 2.2114 2.4156
```


(8)
A geometry-optimized ScAl3Rh4 structure, computed with GGA-PBE.

**V**: 229.1 Å³/cell
**Formation enthalpy at 0 K**: -1096 meV/atom

The structure in POSCAR format:
```
ScAl3Rh4
1.0
4.2894 0.0000 0.0000
0.0000 6.2264 0.0000
0.0000 0.0000 8.5789
Rh Al Sc
8 6 2
Cartesian
2.1447 1.4845 4.2894
2.1447 4.7419 4.2894
0.0008 1.4845 6.4342
2.1447 1.4845 0.0000
2.1447 4.7419 0.0000
0.0008 4.7419 6.4342
4.2887 4.7419 2.1447
4.2887 1.4845 2.1447
2.1456 0.0000 6.4342
2.1441 3.1132 2.1447
0.0000 0.0000 0.0000
2.1438 0.0000 2.1447
2.1454 3.1132 6.4342
0.0000 0.0000 4.2894
0.0000 3.1132 4.2894
0.0000 3.1132 0.0000
```